# 1
Material: Li4IrW
Method: DFT, PBE-GGA
State: relaxed

Unit cell a=4.6943 b=4.6943 c=4.6943 alpha=60.00 beta=60.00 gamma=60.00
Last column: nearest neighbours and their distance in Å.
Sites, in units of the cell vectors:
Li1 0.8797 0.3734 0.3734  6 Li 2.32-2.38
Li2 0.3734 0.3734 0.8797  6 Li 2.32-2.38
Li3 0.3734 0.8797 0.3734  6 Li 2.32-2.38
Li4 0.3734 0.3734 0.3734  6 Li 2.32-2.38
Ir1 0.0000 0.0000 0.0000  12 Li 2.75, 4 W 2.87
W1 0.7500 0.7500 0.7500  12 Li 2.76, 4 Ir 2.87

For the total magnetization, the calculation gives 0.002 μB/f.u. The crystal system is cubic. The total energy is -4.59 eV/atom.

# 2
Material: Ni2OsPb
Method: DFT, PBE-GGA
State: relaxed

Unit cell a=3.0613 b=3.0603 c=6.5273 alpha=90.00 beta=90.00 gamma=90.00
Last column: nearest neighbours and their distance in Å.
Sites, in units of the cell vectors:
Ni1 0.0000 0.0000 0.0474  4 Ni 2.52, 1 Os 2.56
Ni2 0.5000 0.5000 0.2450  4 Os 2.51, 4 Ni 2.52
Os1 0.0000 0.0000 0.4402  5 Ni 2.51-2.56
Pb1 0.5000 0.5000 0.7674  5 Ni 2.83-3.12, 4 Os 3.04, 4 Pb 3.06

For the total magnetization, the calculation gives 0.000 μB/f.u. The crystal system is tetragonal. The total energy is -6.09 eV/atom.

# 3
Material: Na2AsSeO
Method: DFT, PBE-GGA
State: relaxed

Unit cell a=5.6540 b=4.7962 c=5.6540 alpha=90.00 beta=90.00 gamma=90.00
Last column: nearest neighbours and their distance in Å.
Sites, in units of the cell vectors:
Na1 0.0000 0.0000 0.5000  2 As 2.83
Na2 0.5000 0.0000 0.0000  2 As 2.83
As1 0.0000 0.0000 0.0000  2 Se 2.40
O1 0.5000 0.5000 0.5000  8 Na 3.71, 4 Se 4.00
Se1 0.0000 0.5000 0.0000  2 As 2.40

For the total magnetization, the calculation gives 1.457 μB/f.u. The crystal system is tetragonal. The total energy is -3.00 eV/atom.

# 4
Material: Mn2V2CuRh5
Method: DFT, PBE-GGA
State: relaxed

Unit cell a=3.6445 b=9.0002 c=9.0002 alpha=90.00 beta=90.00 gamma=90.00
Last column: nearest neighbours and their distance in Å.
Sites, in units of the cell vectors:
Mn1 0.0000 0.6683 0.1683  3 V 2.54-2.73, 2 Rh 2.81
Mn2 0.0000 0.3317 0.8317  3 V 2.54-2.73, 2 Rh 2.81
Mn3 0.0000 0.1683 0.3317  3 V 2.54-2.73, 2 Rh 2.81
Mn4 0.0000 0.8317 0.6683  3 V 2.54-2.73, 2 Rh 2.81
V1 0.0000 0.1326 0.6326  6 Rh 2.43-2.48, 1 Mn 2.54
V2 0.0000 0.8674 0.3674  6 Rh 2.43-2.48, 1 Mn 2.54
V3 0.0000 0.6326 0.8674  6 Rh 2.43-2.48, 1 Mn 2.54
V4 0.0000 0.3674 0.1326  6 Rh 2.43-2.48, 1 Mn 2.54
Cu1 0.0000 0.0000 0.0000  8 Rh 2.64
Cu2 0.0000 0.5000 0.5000  8 Rh 2.64
Rh1 0.5000 0.1992 0.0742  2 V 2.43, 2 Cu 2.64, 2 Rh 2.71
Rh2 0.5000 0.8008 0.9258  2 V 2.43, 2 Cu 2.64, 2 Rh 2.71
Rh3 0.5000 0.0742 0.8008  2 V 2.43, 2 Cu 2.64, 2 Rh 2.71
Rh4 0.5000 0.6992 0.4258  2 V 2.43, 2 Cu 2.64, 2 Rh 2.71
Rh5 0.5000 0.9258 0.1992  2 V 2.43, 2 Cu 2.64, 2 Rh 2.71
Rh6 0.5000 0.3008 0.5742  2 V 2.43, 2 Cu 2.64, 2 Rh 2.71
Rh7 0.5000 0.5742 0.6992  2 V 2.43, 2 Cu 2.64, 2 Rh 2.71
Rh8 0.5000 0.4258 0.3008  2 V 2.43, 2 Cu 2.64, 2 Rh 2.71
Rh9 0.5000 0.5000 0.0000  4 V 2.48
Rh10 0.5000 0.0000 0.5000  4 V 2.48

For the total magnetization, the calculation gives 7.080 μB/f.u. The crystal system is tetragonal. The total energy is -7.77 eV/atom.

# 5
Material: Cr3Si23
Method: DFT, PBE-GGA
State: relaxed

Unit cell a=10.1669 b=10.1669 c=10.1669 alpha=90.00 beta=90.00 gamma=90.00
Last column: nearest neighbours and their distance in Å.
Sites, in units of the cell vectors:
Cr1 0.2500 0.5000 0.0000  20 Si 3.41-3.78
Cr2 0.7500 0.5000 0.0000  20 Si 3.41-3.78
Cr3 0.5000 0.0000 0.2500  20 Si 3.41-3.78
Cr4 0.5000 0.0000 0.7500  20 Si 3.41-3.78
Cr5 0.0000 0.2500 0.5000  20 Si 3.41-3.78
Cr6 0.0000 0.7500 0.5000  20 Si 3.41-3.78
Si1 0.2500 0.0000 0.5000  4 Si 2.36
Si2 0.7500 0.0000 0.5000  4 Si 2.36
Si3 0.0000 0.5000 0.2500  4 Si 2.36
Si4 0.0000 0.5000 0.7500  4 Si 2.36
Si5 0.5000 0.2500 0.0000  4 Si 2.36
Si6 0.5000 0.7500 0.0000  4 Si 2.36
Si7 0.6840 0.6840 0.6840  4 Si 2.32-2.37
Si8 0.6840 0.3160 0.3160  4 Si 2.32-2.37
Si9 0.3160 0.6840 0.3160  4 Si 2.32-2.37
Si10 0.3160 0.3160 0.6840  4 Si 2.32-2.37
Si11 0.8160 0.8160 0.8160  4 Si 2.32-2.37
Si12 0.8160 0.1840 0.1840  4 Si 2.32-2.37
Si13 0.1840 0.8160 0.1840  4 Si 2.32-2.37
Si14 0.1840 0.1840 0.8160  4 Si 2.32-2.37
Si15 0.3160 0.3160 0.3160  4 Si 2.32-2.37
Si16 0.3160 0.6840 0.6840  4 Si 2.32-2.37
Si17 0.6840 0.3160 0.6840  4 Si 2.32-2.37
Si18 0.6840 0.6840 0.3160  4 Si 2.32-2.37
Si19 0.1840 0.1840 0.1840  4 Si 2.32-2.37
Si20 0.1840 0.8160 0.8160  4 Si 2.32-2.37
Si21 0.8160 0.1840 0.8160  4 Si 2.32-2.37
Si22 0.8160 0.8160 0.1840  4 Si 2.32-2.37
Si23 0.0000 0.6904 0.8834  4 Si 2.36-2.37
Si24 0.0000 0.3096 0.1166  4 Si 2.36-2.37
Si25 0.0000 0.6904 0.1166  4 Si 2.36-2.37
Si26 0.0000 0.3096 0.8834  4 Si 2.36-2.37
Si27 0.6904 0.8834 0.0000  4 Si 2.36-2.37
Si28 0.6904 0.1166 0.0000  4 Si 2.36-2.37
Si29 0.3096 0.8834 0.0000  4 Si 2.36-2.37
Si30 0.3096 0.1166 0.0000  4 Si 2.36-2.37
Si31 0.8834 0.0000 0.6904  4 Si 2.36-2.37
Si32 0.8834 0.0000 0.3096  4 Si 2.36-2.37
Si33 0.1166 0.0000 0.3096  4 Si 2.36-2.37
Si34 0.1166 0.0000 0.6904  4 Si 2.36-2.37
Si35 0.8096 0.5000 0.6166  4 Si 2.36-2.37
Si36 0.8096 0.5000 0.3834  4 Si 2.36-2.37
Si37 0.1904 0.5000 0.3834  4 Si 2.36-2.37
Si38 0.1904 0.5000 0.6166  4 Si 2.36-2.37
Si39 0.5000 0.6166 0.8096  4 Si 2.36-2.37
Si40 0.5000 0.3834 0.1904  4 Si 2.36-2.37
Si41 0.5000 0.6166 0.1904  4 Si 2.36-2.37
Si42 0.5000 0.3834 0.8096  4 Si 2.36-2.37
Si43 0.6166 0.8096 0.5000  4 Si 2.36-2.37
Si44 0.6166 0.1904 0.5000  4 Si 2.36-2.37
Si45 0.3834 0.8096 0.5000  4 Si 2.36-2.37
Si46 0.3834 0.1904 0.5000  4 Si 2.36-2.37

For the total magnetization, the calculation gives 16.860 μB/f.u. The crystal system is cubic. The total energy is -5.57 eV/atom.

# 6
Material: KRhSe2
Method: DFT, PBE-GGA
State: relaxed

Unit cell a=19.6397 b=6.9498 c=6.9498 alpha=61.71 beta=98.91 gamma=81.09
Last column: nearest neighbours and their distance in Å.
Sites, in units of the cell vectors:
K1 0.0715 0.1863 0.1680  6 Se 3.30-3.62, 2 K 3.39-3.59, 1 Rh 3.64
K2 0.4285 0.6680 0.6863  6 Se 3.30-3.62, 2 K 3.39-3.59, 1 Rh 3.64
K3 0.9285 0.8137 0.8320  6 Se 3.30-3.62, 2 K 3.39-3.59, 1 Rh 3.64
K4 0.5715 0.3320 0.3137  6 Se 3.30-3.62, 2 K 3.39-3.59, 1 Rh 3.64
K5 0.4128 0.1927 0.6797  5 Se 3.22-3.52, 2 K 3.39-3.59, 2 Rh 3.43-3.53
K6 0.0872 0.1797 0.6927  5 Se 3.22-3.52, 2 K 3.39-3.59, 2 Rh 3.43-3.53
K7 0.5872 0.8073 0.3203  5 Se 3.22-3.52, 2 K 3.39-3.59, 2 Rh 3.43-3.53
K8 0.9128 0.8203 0.3073  5 Se 3.22-3.52, 2 K 3.39-3.59, 2 Rh 3.43-3.53
Rh1 0.3228 0.4539 0.1192  5 Se 2.45-2.60
Rh2 0.1772 0.6192 0.9539  5 Se 2.45-2.60
Rh3 0.6772 0.5461 0.8808  5 Se 2.45-2.60
Rh4 0.8228 0.3808 0.0461  5 Se 2.45-2.60
Rh5 0.3200 0.0387 0.1047  5 Se 2.43-2.65
Rh6 0.1800 0.6047 0.5387  5 Se 2.43-2.65
Rh7 0.6800 0.9613 0.8953  5 Se 2.43-2.65
Rh8 0.8200 0.3953 0.4613  5 Se 2.43-2.65
Se1 0.0734 0.7100 0.6516  2 Rh 2.45-2.47
Se2 0.4266 0.1516 0.2100  2 Rh 2.45-2.47
Se3 0.9266 0.2900 0.3484  2 Rh 2.45-2.47
Se4 0.5734 0.8484 0.7900  2 Rh 2.45-2.47
Se5 0.7391 0.2566 0.2859  3 Rh 2.43-2.50
Se6 0.7609 0.7859 0.7566  3 Rh 2.43-2.50
Se7 0.2609 0.7434 0.7141  3 Rh 2.43-2.50
Se8 0.2391 0.2141 0.2434  3 Rh 2.43-2.50
Se9 0.4051 0.6977 0.1446  2 Rh 2.55-2.56
Se10 0.0949 0.6446 0.1977  2 Rh 2.55-2.56
Se11 0.5949 0.3023 0.8554  2 Rh 2.55-2.56
Se12 0.9051 0.3554 0.8023  2 Rh 2.55-2.56
Se13 0.7500 0.2785 0.7785  4 Rh 2.60-2.65
Se14 0.2500 0.7215 0.2215  4 Rh 2.60-2.65
Se15 0.7500 0.7893 0.2893  2 Rh 2.46
Se16 0.2500 0.2107 0.7107  2 Rh 2.46

For the total magnetization, the calculation gives 0.000 μB/f.u. The crystal system is monoclinic. The total energy is -4.41 eV/atom.

# 7
Material: BaBeP2
Method: DFT, PBE-GGA
State: relaxed

Unit cell a=4.9602 b=4.9602 c=4.9602 alpha=60.00 beta=60.00 gamma=60.00
Last column: nearest neighbours and their distance in Å.
Sites, in units of the cell vectors:
P1 0.2500 0.2500 0.2500  4 Ba 3.04, 4 Be 3.04
P2 0.7500 0.7500 0.7500  4 Ba 3.04, 4 Be 3.04
Ba1 0.5000 0.5000 0.5000  8 P 3.04
Be1 0.0000 0.0000 0.0000  8 P 3.04

Its energy relative to the lowest polymorph listed for this composition is 1008 meV per atom. For the total magnetization, the calculation gives 0.000 μB/f.u. The crystal system is cubic. The total energy is -3.70 eV/atom.

# 8
Material: Cu2IrBr
Method: DFT, PBE-GGA
State: relaxed

Unit cell a=3.8545 b=3.9506 c=3.9506 alpha=90.00 beta=90.00 gamma=90.00
Last column: nearest neighbours and their distance in Å.
Sites, in units of the cell vectors:
Br1 0.5000 0.0000 0.5000  8 Cu 2.76, 4 Ir 2.79
Cu1 0.0000 0.0000 0.0000  4 Br 2.76, 4 Ir 2.76, 4 Cu 2.79
Cu2 0.0000 0.5000 0.5000  4 Br 2.76, 4 Ir 2.76, 4 Cu 2.79
Ir1 0.5000 0.5000 0.0000  8 Cu 2.76, 4 Br 2.79

Its energy relative to the lowest polymorph listed for this composition is 328 meV per atom. For the total magnetization, the calculation gives 0.000 μB/f.u. The crystal system is tetragonal. The total energy is -3.96 eV/atom.

# 9
Material: InGeCl3
Method: DFT, PBE-GGA
State: relaxed

Unit cell a=5.3595 b=5.5957 c=5.5957 alpha=99.07 beta=90.00 gamma=90.00
Last column: nearest neighbours and their distance in Å.
Sites, in units of the cell vectors:
Ge1 0.5000 0.1140 0.8860  2 Cl 2.38
Cl1 0.5000 0.1700 0.3160  1 Ge 2.38
Cl2 0.5000 0.6840 0.8300  1 Ge 2.38
Cl3 0.0000 0.1538 0.8462  2 Ge 2.70, 1 In 3.00
In1 0.0000 0.5062 0.4938  5 Cl 3.00-3.33

For the total magnetization, the calculation gives 0.000 μB/f.u. The crystal system is orthorhombic. The total energy is -3.37 eV/atom.

# 10
Material: CrCo3Ni
Method: DFT, PBE-GGA
State: relaxed

Unit cell a=6.6205 b=6.6233 c=6.4442 alpha=42.32 beta=42.27 gamma=38.28
Last column: nearest neighbours and their distance in Å.
Sites, in units of the cell vectors:
Cr1 0.5350 0.3597 0.7560  9 Co 2.44-2.53, 2 Ni 2.50-2.52, 1 Cr 2.53
Cr2 0.4650 0.6403 0.2440  9 Co 2.44-2.53, 2 Ni 2.50-2.52, 1 Cr 2.53
Co1 0.7355 0.5680 0.7503  4 Ni 2.45-2.52, 2 Cr 2.46-2.53, 6 Co 2.47-2.50
Co2 0.9329 0.7674 0.7540  4 Cr 2.44-2.51, 6 Co 2.45-2.53, 2 Ni 2.48-2.50
Co3 0.3319 0.1690 0.7466  3 Ni 2.45-2.49, 3 Cr 2.46-2.51, 6 Co 2.47-2.53
Co4 0.2645 0.4320 0.2497  4 Ni 2.45-2.52, 2 Cr 2.46-2.53, 6 Co 2.47-2.50
Co5 0.0671 0.2326 0.2460  4 Cr 2.44-2.51, 6 Co 2.45-2.53, 2 Ni 2.48-2.50
Co6 0.6681 0.8310 0.2534  3 Ni 2.45-2.49, 3 Cr 2.46-2.51, 6 Co 2.47-2.53
Ni1 0.8635 0.0346 0.2520  9 Co 2.45-2.52, 1 Ni 2.50, 2 Cr 2.50-2.52
Ni2 0.1365 0.9654 0.7480  9 Co 2.45-2.52, 1 Ni 2.50, 2 Cr 2.50-2.52

Its energy relative to the lowest polymorph listed for this composition is 0 meV per atom. For the total magnetization, the calculation gives 2.765 μB/f.u. The crystal system is triclinic. The total energy is -7.29 eV/atom.